Entry 1:
Zr2BeNiN | PBE | relaxed

ΔE_f (raw): -0.527 eV per atom
excess energy over the best structure of this formula in the dataset: 0.301 eV per atom
ρ: 6.0 Mg/m³
final energy: -7.513 eV per atom

Cell lengths 4.4257, 3.7226, 4.4257 Å; angles 90.00, 90.00, 90.00 degrees
Sites, in units of the cell vectors:
Ni: 0.0000 0.5000 0.0000
Be: 0.5000 0.5000 0.5000
Zr: 0.0000 0.0000 0.5000
Zr: 0.5000 0.0000 0.0000
N: 0.0000 0.0000 0.0000

***

Entry 2:
Zr2BeNiN | PBE | relaxed

ΔE_f (raw): -0.828 eV per atom
excess energy over the best structure of this formula in the dataset: 0.000 eV per atom
ρ: 6.4 Mg/m³
final energy: -7.814 eV per atom

Cell lengths 3.3894, 6.0025, 7.0840 Å; angles 106.84, 90.00, 90.00 degrees
Sites, in units of the cell vectors:
Zr: 0.7500 0.8135 0.5994
Zr: 0.7500 0.7866 0.0440
Zr: 0.2500 0.1865 0.4006
Zr: 0.2500 0.2134 0.9560
Be: 0.2500 0.5525 0.7513
Be: 0.7500 0.4475 0.2487
Ni: 0.2500 0.6780 0.3008
Ni: 0.7500 0.3220 0.6992
N: 0.2500 0.8348 0.8285
N: 0.7500 0.1652 0.1715

***

Entry 3:
NpBeN2 | PBE | relaxed

ΔE_f (raw): -0.888 eV per atom
ρ: 7.9 Mg/m³
final energy: -9.217 eV per atom

Cell lengths 3.6018, 3.6018, 5.5600 Å; angles 71.10, 71.10, 60.00 degrees
Each line ends with the local moment (μB).
Sites, in units of the cell vectors:
Np: 0.5000 0.5000 0.5000  3.07
Be: 0.0000 0.0000 0.0000  0.01
N: 0.0994 0.0994 0.7018  -0.11
N: 0.9006 0.9006 0.2982  -0.11

***

Entry 4:
NpBeOsN | PBE | relaxed

ΔE_f (raw): -0.546 eV per atom
ρ: 13.8 Mg/m³
final energy: -9.601 eV per atom

Cell lengths 3.6346, 3.6346, 8.1964 Å; angles 90.00, 90.00, 90.00 degrees
Each line ends with the local moment (μB).
Sites, in units of the cell vectors:
Np: 0.0000 0.5000 0.8428  3.50
Np: 0.5000 0.0000 0.1572  3.50
Be: 0.0000 0.5000 0.3144  0.00
Be: 0.5000 0.0000 0.6856  0.00
Os: 0.0000 0.0000 0.5000  -0.11
Os: 0.5000 0.5000 0.5000  -0.11
N: 0.5000 0.0000 0.8835  -0.14
N: 0.0000 0.5000 0.1165  -0.14

***

Entry 5:
NpBePN | PBE | relaxed

ΔE_f (raw): -0.824 eV per atom
ρ: 8.6 Mg/m³
final energy: -8.424 eV per atom

Cell lengths 3.7378, 3.7378, 8.0626 Å; angles 90.00, 90.00, 90.00 degrees
Each line ends with the local moment (μB).
Sites, in units of the cell vectors:
Np: 0.5000 0.0000 0.6478  3.04
Np: 0.0000 0.5000 0.3522  3.04
Be: 0.5000 0.5000 0.0000  0.00
Be: 0.0000 0.0000 0.0000  0.00
P: 0.0000 0.5000 0.8456  -0.05
P: 0.5000 0.0000 0.1544  -0.05
N: 0.0000 0.0000 0.5000  -0.18
N: 0.5000 0.5000 0.5000  -0.18

***

Entry 6:
Np3Pa3BeN8 | PBE | relaxed

ΔE_f (raw): -1.021 eV per atom
ρ: 11.6 Mg/m³
final energy: -10.197 eV per atom

Cell lengths 6.7848, 6.7857, 6.7159 Å; angles 120.35, 90.00, 120.00 degrees
Each line ends with the local moment (μB).
Sites, in units of the cell vectors:
Np: 0.0000 0.0000 0.0000  3.10
Np: 0.0000 0.5000 0.0000  3.10
Np: 0.5000 0.5000 0.0000  3.10
Pa: 0.5000 0.0000 0.5000  0.43
Pa: 0.5000 0.5000 0.5000  0.43
Pa: 0.0000 0.5000 0.5000  0.43
Be: 0.0000 0.0000 0.5000  -0.01
N: 0.2501 0.5002 0.2503  -0.10
N: 0.7499 0.4998 0.7497  -0.10
N: 0.7691 0.5381 0.2671  -0.10
N: 0.2309 0.4619 0.7329  -0.10
N: 0.7690 0.9980 0.2670  -0.10
N: 0.2310 0.0020 0.7330  -0.10
N: 0.2290 0.9980 0.2671  -0.10
N: 0.7710 0.0020 0.7329  -0.10

***

Entry 7:
PrNpBeN3 | PBE | relaxed

ΔE_f (raw): -1.128 eV per atom
ρ: 8.5 Mg/m³
final energy: -8.865 eV per atom

Cell lengths 3.3594, 7.2288, 7.0066 Å; angles 101.48, 90.00, 90.00 degrees
Each line ends with the local moment (μB).
Sites, in units of the cell vectors:
Pr: 0.7500 0.8239 0.7832  0.07
Pr: 0.2500 0.1761 0.2168  0.07
Np: 0.2500 0.6604 0.1802  2.82
Np: 0.7500 0.3396 0.8198  2.82
Be: 0.2500 0.0736 0.5971  0.00
Be: 0.7500 0.9264 0.4029  0.00
N: 0.2500 0.8422 0.4869  -0.05
N: 0.7500 0.8770 0.1532  -0.08
N: 0.7500 0.4278 0.1436  -0.13
N: 0.7500 0.1578 0.5131  -0.05
N: 0.2500 0.5722 0.8564  -0.13
N: 0.2500 0.1230 0.8468  -0.08

***

Entry 8:
SrNpBeN3 | PBE | relaxed

ΔE_f (raw): -1.043 eV per atom
ρ: 7.2 Mg/m³
final energy: -8.264 eV per atom

Cell lengths 3.3997, 7.3187, 7.1428 Å; angles 104.08, 90.00, 90.00 degrees
Each line ends with the local moment (μB).
Sites, in units of the cell vectors:
Sr: 0.2500 0.1901 0.2326  0.01
Sr: 0.7500 0.8099 0.7674  0.01
Np: 0.2500 0.6704 0.1725  2.24
Np: 0.7500 0.3296 0.8275  2.24
Be: 0.2500 0.0703 0.5987  0.00
Be: 0.7500 0.9297 0.4013  0.00
N: 0.7500 0.8667 0.1554  -0.09
N: 0.2500 0.1333 0.8446  -0.09
N: 0.2500 0.8417 0.4743  -0.06
N: 0.7500 0.1583 0.5257  -0.06
N: 0.7500 0.4550 0.1440  -0.12
N: 0.2500 0.5450 0.8560  -0.12

***

Entry 9:
Np2TaBeN5 | PBE | relaxed

ΔE_f (raw): -1.048 eV per atom
ρ: 12.1 Mg/m³
final energy: -10.280 eV per atom

Cell lengths 3.1483, 6.6813, 9.8175 Å; angles 90.00, 90.00, 103.63 degrees
Each line ends with the local moment (μB).
Sites, in units of the cell vectors:
Np: 0.8691 0.7383 0.8089  2.69
Np: 0.1169 0.2337 0.6890  2.98
Np: 0.1309 0.2617 0.3089  2.69
Np: 0.8831 0.7663 0.1890  2.98
Ta: 0.8066 0.6132 0.5054  0.07
Ta: 0.1934 0.3868 0.0054  0.07
Be: 0.4992 0.9983 0.9784  0.00
Be: 0.5008 0.0017 0.4784  0.00
N: 0.3570 0.7140 0.0072  -0.11
N: 0.6937 0.3874 0.8580  -0.10
N: 0.4931 0.9861 0.7888  -0.18
N: 0.2972 0.5943 0.6529  -0.10
N: 0.9639 0.9278 0.5355  -0.07
N: 0.6430 0.2860 0.5072  -0.11
N: 0.3063 0.6126 0.3580  -0.10
N: 0.5069 0.0139 0.2888  -0.18
N: 0.7028 0.4057 0.1529  -0.10
N: 0.0361 0.0722 0.0355  -0.07

***

Entry 10:
NpBeZn2N4 | PBE | relaxed

ΔE_f (raw): -0.398 eV per atom
ρ: 7.9 Mg/m³
final energy: -6.963 eV per atom

Cell lengths 4.8838, 5.0774, 7.2967 Å; angles 90.00, 90.00, 90.00 degrees
Each line ends with the local moment (μB).
Sites, in units of the cell vectors:
Np: 0.4386 0.7718 0.5000  1.31
Np: 0.9386 0.2282 0.0000  1.31
Be: 0.0072 0.1611 0.5000  -0.01
Be: 0.5072 0.8389 0.0000  -0.01
Zn: 0.4719 0.3017 0.2515  -0.01
Zn: 0.4719 0.3017 0.7485  -0.01
Zn: 0.9719 0.6983 0.7515  -0.01
Zn: 0.9719 0.6983 0.2485  -0.01
N: 0.4230 0.1698 0.0000  -0.06
N: 0.9230 0.8302 0.5000  -0.06
N: 0.3628 0.2014 0.5000  -0.07
N: 0.8628 0.7986 0.0000  -0.07
N: 0.4122 0.7202 0.7703  -0.06
N: 0.9122 0.2798 0.2703  -0.06
N: 0.9122 0.2798 0.7297  -0.06
N: 0.4122 0.7202 0.2297  -0.06

***

Entry 11:
Be3NO | PBE | relaxed

ΔE_f (raw): -0.506 eV per atom
excess energy over the best structure of this formula in the dataset: 0.000 eV per atom
ρ: 2.5 Mg/m³
final energy: -5.399 eV per atom

Cell lengths 3.3532, 3.3532, 3.3532 Å; angles 90.00, 90.00, 90.00 degrees
Sites, in units of the cell vectors:
Be: 0.0000 0.5000 0.0000
Be: 0.0000 0.0000 0.5000
Be: 0.5000 0.0000 0.0000
O: 0.5000 0.5000 0.5000
N: 0.0000 0.0000 0.0000

***

Entry 12:
BeNO2 | PBE | relaxed

ΔE_f (raw): 0.084 eV per atom
excess energy over the best structure of this formula in the dataset: 0.000 eV per atom
ρ: 2.7 Mg/m³
final energy: -5.408 eV per atom

Cell lengths 4.3261, 4.3261, 4.7415 Å; angles 62.86, 62.86, 90.00 degrees
Each line ends with the local moment (μB).
Sites, in units of the cell vectors:
Be: 0.5000 0.5000 0.0000  0.02
Be: 0.2500 0.7500 0.5000  0.02
O: 0.5639 0.1250 0.2500  0.09
O: 0.1861 0.6250 0.2500  0.08
O: 0.3750 0.4361 0.7500  0.08
O: 0.8750 0.8139 0.7500  0.07
N: 0.0000 0.0000 0.0000  0.60
N: 0.7500 0.2500 0.5000  0.60

***

Entry 13:
BeNO2 | PBE | relaxed

ΔE_f (raw): 0.735 eV per atom
excess energy over the best structure of this formula in the dataset: 0.651 eV per atom
ρ: 2.4 Mg/m³
final energy: -4.757 eV per atom

Cell lengths 5.0429, 5.0429, 5.0429 Å; angles 35.00, 35.00, 35.00 degrees
Sites, in units of the cell vectors:
Be: 0.0000 0.0000 0.0000
O: 0.8977 0.8977 0.8977
O: 0.1023 0.1023 0.1023
N: 0.5000 0.5000 0.5000

***

Entry 14:
BeNO2 | PBE | relaxed

ΔE_f (raw): 1.181 eV per atom
excess energy over the best structure of this formula in the dataset: 1.097 eV per atom
ρ: 3.1 Mg/m³
final energy: -4.311 eV per atom

Cell lengths 3.4642, 3.4642, 3.4642 Å; angles 60.00, 60.00, 60.00 degrees
Sites, in units of the cell vectors:
Be: 0.0000 0.0000 0.0000
O: 0.2500 0.2500 0.2500
O: 0.7500 0.7500 0.7500
N: 0.5000 0.5000 0.5000

***

Entry 15:
BeOsNO2 | PBE | relaxed

ΔE_f (raw): 0.274 eV per atom
ρ: 7.1 Mg/m³
final energy: -6.366 eV per atom

Cell lengths 3.8789, 3.8789, 3.8007 Å; angles 90.00, 90.00, 90.00 degrees
Sites, in units of the cell vectors:
Be: 0.5000 0.5000 0.5000
Os: 0.0000 0.0000 0.0000
O: 0.0000 0.5000 0.0000
O: 0.5000 0.0000 0.0000
N: 0.0000 0.0000 0.5000

***

Entry 16:
BeOsNO2 | PBE | relaxed

ΔE_f (raw): 0.332 eV per atom
ρ: 10.0 Mg/m³
final energy: -6.307 eV per atom

Cell lengths 3.2925, 3.2925, 3.7613 Å; angles 90.00, 90.00, 90.00 degrees
Each line ends with the local moment (μB).
Sites, in units of the cell vectors:
Be: 0.0000 0.0000 0.0000  0.00
Os: 0.5000 0.5000 0.5000  0.32
O: 0.0000 0.5000 0.0000  0.00
O: 0.5000 0.0000 0.0000  0.00
N: 0.0000 0.0000 0.5000  0.03

***

Entry 17:
BeP2NO | PBE | relaxed

ΔE_f (raw): 0.850 eV per atom
excess energy over the best structure of this formula in the dataset: 0.000 eV per atom
ρ: 2.9 Mg/m³
final energy: -4.715 eV per atom

Cell lengths 4.3765, 4.3765, 2.9803 Å; angles 90.00, 90.00, 90.00 degrees
Sites, in units of the cell vectors:
P: 0.0000 0.5000 0.0000
P: 0.5000 0.0000 0.0000
Be: 0.0000 0.0000 0.0000
O: 0.0000 0.0000 0.5000
N: 0.5000 0.5000 0.5000

***

Entry 18:
BeP2NO | PBE | relaxed

ΔE_f (raw): 1.120 eV per atom
excess energy over the best structure of this formula in the dataset: 0.270 eV per atom
ρ: 3.0 Mg/m³
final energy: -4.445 eV per atom

Cell lengths 3.8831, 3.8831, 3.7130 Å; angles 90.00, 90.00, 90.00 degrees
Sites, in units of the cell vectors:
P: 0.0000 0.5000 0.0000
P: 0.5000 0.0000 0.0000
Be: 0.5000 0.5000 0.5000
O: 0.0000 0.0000 0.5000
N: 0.0000 0.0000 0.0000

***

Entry 19:
Pa3BeN2O6 | PBE | relaxed

ΔE_f (raw): -2.688 eV per atom
ρ: 8.5 Mg/m³
final energy: -9.239 eV per atom

Cell lengths 3.7745, 7.8184, 6.7039 Å; angles 125.67, 90.12, 90.00 degrees
Each line ends with the local moment (μB).
Sites, in units of the cell vectors:
Pa: 0.0000 0.5000 0.0000  0.12
Pa: 0.5000 0.5000 0.5000  0.00
Pa: 0.5000 0.0000 0.5000  0.00
Be: 0.5000 0.0000 0.0000  0.00
N: 0.4990 0.6235 0.2469  0.23
N: 0.5010 0.3765 0.7531  0.23
O: 0.9989 0.4042 0.2674  0.05
O: 0.0011 0.5958 0.7326  0.05
O: 0.5016 0.8675 0.7349  0.01
O: 0.4984 0.1325 0.2651  0.01
O: 0.0011 0.1368 0.7326  0.05
O: 0.9989 0.8632 0.2674  0.05

***

Entry 20:
BePbN2O | PBE | relaxed

ΔE_f (raw): 0.574 eV per atom
ρ: 7.4 Mg/m³
final energy: -5.234 eV per atom

Cell lengths 3.3596, 3.3596, 5.1498 Å; angles 90.00, 90.00, 90.00 degrees
Sites, in units of the cell vectors:
Pb: 0.5000 0.5000 0.5000
Be: 0.0000 0.0000 0.0000
O: 0.0000 0.0000 0.5000
N: 0.0000 0.5000 0.0000
N: 0.5000 0.0000 0.0000

***

Entry 21:
BePbN2O | PBE | relaxed

ΔE_f (raw): 1.864 eV per atom
ρ: 5.1 Mg/m³
final energy: -3.945 eV per atom

Cell lengths 4.4422, 4.4422, 4.3057 Å; angles 90.00, 90.00, 90.00 degrees
Each line ends with the local moment (μB).
Sites, in units of the cell vectors:
Pb: 0.0000 0.0000 0.0000  -0.03
Be: 0.5000 0.5000 0.5000  -0.18
O: 0.0000 0.0000 0.5000  0.17
N: 0.0000 0.5000 0.0000  0.84
N: 0.5000 0.0000 0.0000  0.84

***

Entry 22:
BePtNO2 | PBE | relaxed

ΔE_f (raw): 0.811 eV per atom
ρ: 6.7 Mg/m³
final energy: -4.791 eV per atom

Cell lengths 4.1193, 4.1193, 3.6549 Å; angles 90.00, 90.00, 90.00 degrees
Sites, in units of the cell vectors:
Be: 0.5000 0.5000 0.5000
O: 0.0000 0.5000 0.0000
O: 0.5000 0.0000 0.0000
Pt: 0.0000 0.0000 0.0000
N: 0.0000 0.0000 0.5000

***

Entry 23:
BePtNO2 | PBE | relaxed

ΔE_f (raw): 0.382 eV per atom
ρ: 9.6 Mg/m³
final energy: -5.220 eV per atom

Cell lengths 3.4741, 3.4741, 3.5947 Å; angles 90.00, 90.00, 90.00 degrees
Sites, in units of the cell vectors:
Be: 0.0000 0.0000 0.0000
O: 0.0000 0.5000 0.0000
O: 0.5000 0.0000 0.0000
Pt: 0.5000 0.5000 0.5000
N: 0.0000 0.0000 0.5000

***

Entry 24:
BeRuNO2 | PBE | relaxed

ΔE_f (raw): 0.135 eV per atom
ρ: 6.4 Mg/m³
final energy: -6.113 eV per atom

Cell lengths 3.3469, 3.3469, 3.6408 Å; angles 90.00, 90.00, 90.00 degrees
Each line ends with the local moment (μB).
Sites, in units of the cell vectors:
Ru: 0.5000 0.5000 0.5000  0.07
Be: 0.0000 0.0000 0.0000  0.00
O: 0.0000 0.5000 0.0000  0.00
O: 0.5000 0.0000 0.0000  0.00
N: 0.0000 0.0000 0.5000  0.00

***

Entry 25:
BeRuNO2 | PBE | relaxed

ΔE_f (raw): 0.370 eV per atom
ρ: 4.5 Mg/m³
final energy: -5.879 eV per atom

Cell lengths 3.9220, 3.9220, 3.7102 Å; angles 90.00, 90.00, 90.00 degrees
Each line ends with the local moment (μB).
Sites, in units of the cell vectors:
Ru: 0.0000 0.0000 0.0000  0.32
Be: 0.5000 0.5000 0.5000  0.02
O: 0.0000 0.5000 0.0000  0.05
O: 0.5000 0.0000 0.0000  0.05
N: 0.0000 0.0000 0.5000  0.00